Here is a relaxed OsBrCl2 crystal from the Alexandria database. Energies are from PBE.

Energy above the most stable polymorph in this dataset: 1602 meV per atom
Theoretical density: 7.56 Mg/m³
Total moment: 0.000 μB per atom
VASP energy: -2.637 eV/atom
Formation energy (no corrections): 34.9 kcal/mol of atoms

a b c (Å): 4.218 4.218 4.209
angles (deg): 90.00 90.00 90.00
Space group P4/mmm (No. 123)
Symmetry-distinct sites (fractional):
1 Os 0.000 0.000 0.000 [1 per cell]
2 Br 0.500 0.500 0.000 [1 per cell]
3 Cl 0.000 0.500 0.500 [2 per cell]

---

Here is a relaxed Ca3TaZn crystal from the Alexandria database. Energies are from PBE.

Energy above the most stable polymorph in this dataset: 156 meV per atom
Theoretical density: 3.42 Mg/m³
Total moment: 0.000 μB per atom
VASP energy: -2.754 eV/atom
Energy of formation: 1071.9 meV per atom

a b c (Å): 5.623 5.623 5.623
angles (deg): 90.00 90.00 90.00
Space group Pm-3m (No. 221)
Symmetry-distinct sites (fractional):
1 Ca 0.000 0.000 0.500 [3 per cell]
2 Ta 0.000 0.000 0.000 [1 per cell]
3 Zn 0.500 0.500 0.500 [1 per cell]

---

Here is a relaxed MgCoMo crystal from the Alexandria database. Energies are from PBE.

Energy above the most stable polymorph in this dataset: 0 meV per atom
Theoretical density: 6.70 Mg/m³
Total moment: 0.107 μB per atom
VASP energy: -6.346 eV/atom
Energy of formation: 164.0 meV per atom

a b c (Å): 2.839 2.839 11.025
angles (deg): 90.00 90.00 90.00
Space group I4mm (No. 107)
Symmetry-distinct sites (fractional):
1 Mg 0.000 0.000 0.000 [2 per cell]
2 Co 0.000 0.000 0.663 [2 per cell]
3 Mo 0.000 0.000 0.299 [2 per cell]

---

Here is a relaxed ZnIr3F crystal from the Alexandria database. Energies are from PBE.

Energy above the most stable polymorph in this dataset: 591 meV per atom
Theoretical density: 11.19 Mg/m³
Total moment: 0.890 μB per atom
VASP energy: -4.122 eV/atom
Formation energy (no corrections): 42.1 kcal/mol of atoms

a b c (Å): 4.612 4.612 4.612
angles (deg): 90.00 90.00 90.00
Space group Pm-3m (No. 221)
Symmetry-distinct sites (fractional):
1 Zn 0.000 0.000 0.000 [1 per cell]
2 Ir 0.000 0.000 0.500 [3 per cell]
3 F 0.500 0.500 0.500 [1 per cell]

---

Here is a relaxed Sm5Er3 crystal from the Alexandria database. Energies are from PBE.

Energy above the most stable polymorph in this dataset: 0 meV per atom
Theoretical density: 8.01 Mg/m³
Total moment: 0.000 μB per atom
VASP energy: -4.643 eV/atom
Energy of formation: 17.3 meV per atom

a b c (Å): 10.117 10.144 5.062
angles (deg): 90.00 90.00 90.00
Space group Cmmm (No. 65)
Symmetry-distinct sites (fractional):
1 Sm 0.000 0.000 0.000 [2 per cell]
2 Sm 0.249 0.500 0.500 [4 per cell]
3 Sm 0.250 0.250 0.000 [4 per cell]
4 Er 0.000 0.252 0.500 [4 per cell]
5 Er 0.000 0.500 0.000 [2 per cell]

---

Here is a relaxed BaTl3Ge3 crystal from the Alexandria database. Energies are from PBE.

Theoretical density: 6.85 Mg/m³
Total moment: 0.000 μB per atom
VASP energy: -3.146 eV/atom
Energy of formation: 122.0 meV per atom

a b c (Å): 7.770 7.770 7.770
angles (deg): 90.00 90.00 90.00
Space group Pm-3n (No. 223)
Symmetry-distinct sites (fractional):
1 Ba 0.000 0.000 0.000 [2 per cell]
2 Tl 0.000 0.250 0.500 [6 per cell]
3 Ge 0.000 0.500 0.250 [6 per cell]

---

Here is a relaxed ScCl2 crystal from the Alexandria database. Energies are from PBE.

Theoretical density: 2.06 Mg/m³
Total moment: 0.000 μB per atom
VASP energy: -5.040 eV/atom
Formation energy (no corrections): -39.2 kcal/mol of atoms

a b c (Å): 3.635 14.212 7.245
angles (deg): 90.00 90.00 90.00
Space group Cmcm (No. 63)
Symmetry-distinct sites (fractional):
1 Sc 0.000 0.010 0.250 [4 per cell]
2 Cl 0.000 0.370 0.750 [4 per cell]
3 Cl 0.000 0.390 0.250 [4 per cell]

---

Here is a relaxed KBeIr2 crystal from the Alexandria database. Energies are from PBE.

Theoretical density: 8.73 Mg/m³
Total moment: 0.000 μB per atom
VASP energy: -5.386 eV/atom
Energy of formation: 250.6 meV per atom

a b c (Å): 9.960 2.808 6.232
angles (deg): 90.00 109.33 90.00
Space group Cm (No. 8)
Symmetry-distinct sites (fractional):
1 K 0.000 0.000 0.000 [2 per cell]
2 Be 0.178 0.000 0.634 [2 per cell]
3 Ir 0.273 0.500 0.451 [2 per cell]
4 Ir 0.496 0.000 0.485 [2 per cell]

---

Here is a relaxed NaCaZn2Ir crystal from the Alexandria database. Energies are from PBE.

Theoretical density: 4.96 Mg/m³
Total moment: 0.000 μB per atom
VASP energy: -3.022 eV/atom
Energy of formation: -75.8 meV per atom

a b c (Å): 4.956 4.956 5.268
angles (deg): 90.00 90.00 90.00
Space group P4/mmm (No. 123)
Symmetry-distinct sites (fractional):
1 Na 0.000 0.000 0.000 [1 per cell]
2 Ca 0.500 0.500 0.000 [1 per cell]
3 Zn 0.000 0.500 0.500 [2 per cell]
4 Ir 0.500 0.500 0.500 [1 per cell]

---

Here is a relaxed KAcAg4 crystal from the Alexandria database. Energies are from PBE.

Theoretical density: 7.70 Mg/m³
Total moment: 0.000 μB per atom
VASP energy: -2.784 eV/atom
Energy of formation: -15.5 meV per atom

a b c (Å): 8.444 8.444 8.444
angles (deg): 90.00 90.00 90.00
Space group F-43m (No. 216)
Symmetry-distinct sites (fractional):
1 K 0.000 0.000 0.000 [4 per cell]
2 Ac 0.250 0.250 0.750 [4 per cell]
3 Ag 0.126 0.126 0.374 [16 per cell]

---

Here is a relaxed Ga2PtW crystal from the Alexandria database. Energies are from PBE.

Energy above the most stable polymorph in this dataset: 255 meV per atom
Theoretical density: 12.72 Mg/m³
Total moment: 0.000 μB per atom
VASP energy: -5.961 eV/atom
Energy of formation: 301.1 meV per atom

a b c (Å): 6.968 6.968 5.576
angles (deg): 90.00 90.00 90.00
Space group I-42d (No. 122)
Symmetry-distinct sites (fractional):
1 Ga 0.234 0.750 0.125 [8 per cell]
2 Pt 0.000 0.000 0.000 [4 per cell]
3 W 0.000 0.000 0.500 [4 per cell]

---

Here is a relaxed Pm2CdGe4 crystal from the Alexandria database. Energies are from PBE.

Theoretical density: 6.82 Mg/m³
Total moment: 0.000 μB per atom
VASP energy: -4.442 eV/atom
Energy of formation: -315.9 meV per atom

a b c (Å): 4.158 4.158 9.767
angles (deg): 90.00 90.00 90.00
Space group P-4m2 (No. 115)
Symmetry-distinct sites (fractional):
1 Pm 0.000 0.500 0.244 [2 per cell]
2 Cd 0.000 0.000 0.500 [1 per cell]
3 Ge 0.000 0.000 0.000 [1 per cell]
4 Ge 0.000 0.500 0.701 [2 per cell]
5 Ge 0.500 0.500 0.000 [1 per cell]

---

Here is a relaxed Tb3CuSi6Pd2 crystal from the Alexandria database. Energies are from PBE.

Theoretical density: 6.89 Mg/m³
Total moment: 0.000 μB per atom
VASP energy: -5.498 eV/atom
Formation energy (no corrections): -9.7 kcal/mol of atoms

a b c (Å): 5.5786 5.5786 8.2393
angles (deg): 90.00 90.00 120.00
Space group P-3m1 (No. 164)
Symmetry-distinct sites (fractional):
1 Tb 0.0000 0.0000 0.0000 [1 per cell]
2 Tb 0.3333 0.6667 0.6004 [2 per cell]
3 Cu 0.0000 0.0000 0.5000 [1 per cell]
4 Si 0.1843 0.3685 0.2807 [6 per cell]
5 Pd 0.3333 0.6667 0.0323 [2 per cell]